{
  "formula": "NdZnGaPt3",
  "functional": "PBE",
  "state": "optimized geometry",
  "cell": [[-4.358, -3.351, -1.041], [4.036, -1.665, 3.499], [-2.002, 1.643, 3.091]],
  "species": ["Pt", "Nd", "Pt", "Pt", "Zn", "Ga"],
  "frac_coords": [[0.167, 0.833, 0.500], [0.667, 0.333, 0.000], [0.167, 0.334, 0.500], [0.666, 0.833, 0.500], [0.333, 0.667, 0.000], [0.000, 0.000, 0.000]],
  "magmom_total_mub_per_fu": 0.0,
  "final_energy_ev_per_atom": -5.3996,
  "space_group": "P-6m2, No. 187",
  "crystal_system": "hexagonal"
}

---

{
  "formula": "ThAlPd",
  "functional": "PBE",
  "state": "optimized geometry",
  "cell": [[-2.155, -2.242, 7.811], [5.409, -4.712, -4.384], [2.450, 1.723, 1.170]],
  "species": ["Al", "Pd", "Th", "Pd", "Th", "Al", "Al", "Pd", "Th"],
  "frac_coords": [[0.000, 0.000, 0.500], [0.357, 0.357, 0.500], [0.698, 0.698, 0.000], [0.643, 0.000, 0.500], [0.302, 0.000, 0.000], [0.667, 0.333, 0.000], [0.333, 0.667, 0.000], [0.000, 0.643, 0.500], [0.000, 0.302, 0.000]],
  "magmom_total_mub_per_fu": 0.0,
  "final_energy_ev_per_atom": -5.6988,
  "space_group": "P-62m, No. 189",
  "crystal_system": "hexagonal"
}

---

{
  "formula": "PaInIr",
  "functional": "PBE",
  "state": "optimized geometry",
  "cell": [[0.000, 3.314, 3.314], [3.314, 0.000, 3.314], [3.314, 3.314, 0.000]],
  "species": ["In", "Pa", "Ir"],
  "frac_coords": [[0.750, 0.750, 0.750], [0.250, 0.250, 0.250], [0.000, 0.000, 0.000]],
  "magmom_total_mub_per_fu": 0.4,
  "final_energy_ev_per_atom": -7.4681,
  "space_group": "F-43m, No. 216",
  "crystal_system": "cubic"
}

---

{
  "formula": "SrErTc",
  "functional": "PBE",
  "state": "optimized geometry",
  "cell": [[0.000, 3.506, 3.506], [3.506, 0.000, 3.506], [3.506, 3.506, 0.000]],
  "species": ["Er", "Tc", "Sr"],
  "frac_coords": [[0.000, 0.000, 0.000], [0.750, 0.750, 0.750], [0.250, 0.250, 0.250]],
  "magmom_total_mub_per_fu": 1.0,
  "final_energy_ev_per_atom": -4.3191,
  "space_group": "F-43m, No. 216",
  "crystal_system": "cubic"
}

---

{
  "formula": "Li2ZrAl",
  "functional": "PBE",
  "state": "optimized geometry",
  "cell": [[0.000, 3.261, 3.261], [3.261, 0.000, 3.261], [3.261, 3.261, 0.000]],
  "species": ["Al", "Zr", "Li", "Li"],
  "frac_coords": [[0.500, 0.500, 0.500], [0.250, 0.250, 0.250], [0.000, 0.000, 0.000], [0.750, 0.750, 0.750]],
  "magmom_total_mub_per_fu": 0.0,
  "final_energy_ev_per_atom": -4.0411,
  "space_group": "F-43m, No. 216",
  "crystal_system": "cubic"
}

---

{
  "formula": "RbGdHgTe3",
  "functional": "PBE",
  "state": "optimized geometry",
  "cell": [[-1.831, 10.739, -4.694], [-3.075, -1.752, -2.808], [-11.777, 2.852, 11.117]],
  "species": ["Te", "Te", "Gd", "Rb", "Te", "Hg", "Gd", "Te", "Rb", "Gd", "Te", "Rb", "Te", "Te", "Rb", "Hg", "Te", "Te", "Te", "Gd", "Te", "Te", "Hg", "Hg"],
  "frac_coords": [[0.534, 0.250, 0.376], [0.440, 0.250, 0.118], [0.486, 0.750, 0.247], [0.234, 0.750, 0.006], [0.966, 0.750, 0.876], [0.740, 0.250, 0.289], [0.014, 0.250, 0.747], [0.263, 0.250, 0.823], [0.266, 0.250, 0.506], [0.986, 0.750, 0.253], [0.940, 0.250, 0.382], [0.766, 0.250, 0.994], [0.237, 0.750, 0.323], [0.034, 0.250, 0.124], [0.734, 0.750, 0.494], [0.760, 0.750, 0.789], [0.737, 0.750, 0.177], [0.763, 0.250, 0.677], [0.060, 0.750, 0.618], [0.514, 0.250, 0.753], [0.466, 0.750, 0.624], [0.560, 0.750, 0.882], [0.260, 0.750, 0.711], [0.240, 0.250, 0.211]],
  "relative_energy_mev_per_atom": 0,
  "magmom_total_mub_per_fu": 0.0,
  "final_energy_ev_per_atom": -3.5366,
  "space_group": "Pnma, No. 62",
  "crystal_system": "orthorhombic"
}

---

Number 1 is which compound?
NdZnGaPt3

---

Which formula does entry 3 have?
PaInIr

---

Number 5 is which compound?
Li2ZrAl